(1)
The following is a DFT calculation (meta-GGA SCAN) of a crystal of LiNbVO4 relaxed with PBEsol.

Computed properties:
* energy: -383.05 eV per cell
* formation energy without anion corrections: -2.5471 eV/atom

Structure (CIF):
```
data_LiNbVO4
_cell_length_a 5.994
_cell_length_b 5.994
_cell_length_c 8.562
_cell_angle_alpha 90.00
_cell_angle_beta 90.00
_cell_angle_gamma 90.00
_space_group_name_H-M_alt 'P 43 2 2'
_space_group_IT_number 95
loop_
_space_group_symop_operation_xyz
'x,y,z'
'-y,x,z+3/4'
'-x,-y,z+1/2'
'y,-x,z+1/4'
'x,-y,-z+1/2'
'-y,-x,-z+3/4'
'-x,y,-z'
'y,x,-z+1/4'
loop_
_atom_site_label
_atom_site_type_symbol
_atom_site_fract_x
_atom_site_fract_y
_atom_site_fract_z
Li1 Li 0.000 0.237 0.000
Nb1 Nb 0.252 0.252 0.625
V1 V 0.245 0.500 0.250
O1 O 0.013 0.261 0.254
O2 O 0.262 0.494 0.013
```

(2)
The following is a DFT calculation (meta-GGA SCAN) of a crystal of LiAlGe2O6 relaxed with PBEsol.

Computed properties:
* energy: -434.60 eV per cell
* formation energy without anion corrections: -2.2947 eV/atom

Structure (CIF):
```
data_LiAlGe2O6
_cell_length_a 5.375
_cell_length_b 8.347
_cell_length_c 9.524
_cell_angle_alpha 90.00
_cell_angle_beta 100.52
_cell_angle_gamma 90.00
_space_group_name_H-M_alt 'P 1 21/c 1'
_space_group_IT_number 14
loop_
_space_group_symop_operation_xyz
'x,y,z'
'-x,-y,-z'
'-x,y+1/2,-z+1/2'
'x,-y+1/2,z+1/2'
loop_
_atom_site_label
_atom_site_type_symbol
_atom_site_fract_x
_atom_site_fract_y
_atom_site_fract_z
Li1 Li 0.201 0.213 0.008
Al1 Al 0.249 0.585 0.006
Ge1 Ge 0.078 0.585 0.289
Ge2 Ge 0.442 0.614 0.723
O1 O 0.047 0.073 0.397
O2 O 0.093 0.745 0.894
O3 O 0.196 0.009 0.142
O4 O 0.291 0.075 0.855
O5 O 0.375 0.684 0.182
O6 O 0.462 0.101 0.588
```

(3)
The following is a DFT calculation (meta-GGA SCAN) of a crystal of Li2SiRh relaxed with PBEsol.

Computed properties:
* energy: -197.79 eV per cell
* formation energy without anion corrections: -0.2203 eV/atom

Structure (CIF):
```
data_Li2SiRh
_cell_length_a 3.440
_cell_length_b 3.440
_cell_length_c 18.610
_cell_angle_alpha 90.00
_cell_angle_beta 90.00
_cell_angle_gamma 90.00
_space_group_name_H-M_alt 'I -4 2 d'
_space_group_IT_number 122
_space_group_name_Hall 'I -4 2bw'
loop_
_atom_site_label
_atom_site_type_symbol
_atom_site_fract_x
_atom_site_fract_y
_atom_site_fract_z
Li1 Li 0.248 0.250 0.125
Si1 Si 0.000 0.000 0.500
Rh1 Rh 0.000 0.000 0.000
```